<w>
The following is a PBE calculation of an optimized crystal structure of Ca2Ti2Pd, from Alexandria via LeMat-Bulk.

Properties
N(E_F): 8.97 states/eV per cell

Lattice parameters (Å, degrees): 4.089 4.089 7.631 74.46 74.46 90.00
Element x y z (fractional)
1 Ca 0.750 0.250 0.500
2 Ca 0.250 0.750 0.500
3 Pd 0.000 0.000 0.000
4 Ti 0.429 0.429 0.143
5 Ti 0.571 0.571 0.857

=====

<x>
The following is a PBE calculation of an optimized crystal structure of Ca2Ti2Pd, from Alexandria via LeMat-Bulk.

Properties
N(E_F): 8.85 states/eV per cell

Lattice parameters (Å, degrees): 6.717 6.717 5.357 90.00 90.00 90.00
Site moments in Bohr magnetons follow the coordinates.
Element x y z (fractional)
1 Ca 0.180 0.680 0.500  0.05
2 Ca 0.680 0.820 0.500  0.06
3 Ca 0.820 0.320 0.500  0.05
4 Ca 0.320 0.180 0.500  0.06
5 Pd 0.000 0.000 0.000  0.02
6 Pd 0.500 0.500 0.000  0.02
7 Ti 0.359 0.859 0.000  1.14
8 Ti 0.859 0.641 0.000  1.14
9 Ti 0.641 0.141 0.000  1.14
10 Ti 0.141 0.359 0.000  1.14

=====

Last place for stability: <w>

=====

<w>
The following is a PBE calculation of an optimized crystal structure of CaTi3Pd, from Alexandria via LeMat-Bulk.

Properties
N(E_F): 10.71 states/eV per cell

Lattice parameters (Å, degrees): 4.548 4.548 4.548 90.00 90.00 90.00
Site moments in Bohr magnetons follow the coordinates.
Element x y z (fractional)
1 Ca 0.000 0.000 0.000  0.10
2 Pd 0.500 0.500 0.500  0.03
3 Ti 0.000 0.500 0.000  0.55
4 Ti 0.000 0.000 0.500  0.35
5 Ti 0.500 0.000 0.000  0.60

=====

<x>
The following is a PBE calculation of an optimized crystal structure of CaTi3Pd, from Alexandria via LeMat-Bulk.

Properties
N(E_F): 7.58 states/eV per cell

Lattice parameters (Å, degrees): 4.901 4.901 4.901 90.00 90.00 90.00
Site moments in Bohr magnetons follow the coordinates.
Element x y z (fractional)
1 Ca 0.500 0.500 0.500  0.04
2 Pd 0.000 0.000 0.000  0.03
3 Ti 0.000 0.500 0.000  0.33
4 Ti 0.000 0.000 0.500  0.20
5 Ti 0.500 0.000 0.000  0.55

=====

Last place for stability: <w>

=====

<w>
The following is a PBE calculation of an optimized crystal structure of CaTi2Pd, from Alexandria via LeMat-Bulk.

Properties
N(E_F): 5.86 states/eV per cell

Lattice parameters (Å, degrees): 7.753 7.753 6.190 51.23 51.23 90.00
Element x y z (fractional)
1 Ca 0.500 0.500 0.000
2 Ca 0.250 0.750 0.500
3 Pd 0.000 0.000 0.000
4 Pd 0.750 0.250 0.500
5 Ti 0.687 0.125 0.250
6 Ti 0.063 0.625 0.250
7 Ti 0.375 0.313 0.750
8 Ti 0.875 0.937 0.750

=====

<x>
The following is a PBE calculation of an optimized crystal structure of CaTi2Pd, from Alexandria via LeMat-Bulk.

Properties
N(E_F): 7.71 states/eV per cell

Lattice parameters (Å, degrees): 4.716 4.716 4.716 60.00 60.00 60.00
Site moments in Bohr magnetons follow the coordinates.
Element x y z (fractional)
1 Ca 0.000 0.000 0.000  0.06
2 Pd 0.500 0.500 0.500  0.04
3 Ti 0.250 0.250 0.250  0.40
4 Ti 0.750 0.750 0.750  0.40

=====

Last place for stability: <x>

=====

<w>
The following is a PBE calculation of an optimized crystal structure of CaTiPd2, from Alexandria via LeMat-Bulk.

Properties
N(E_F): 2.64 states/eV per cell

Lattice parameters (Å, degrees): 3.245 3.245 7.202 90.00 90.00 90.00
Element x y z (fractional)
1 Ca 0.500 0.500 0.500
2 Pd 0.000 0.000 0.802
3 Pd 0.000 0.000 0.198
4 Ti 0.500 0.500 0.000

=====

<x>
The following is a PBE calculation of an optimized crystal structure of CaTiPd2, from Alexandria via LeMat-Bulk.

Properties
N(E_F): 4.25 states/eV per cell

Lattice parameters (Å, degrees): 4.707 4.707 4.707 60.00 60.00 60.00
Site moments in Bohr magnetons follow the coordinates.
Element x y z (fractional)
1 Ca 0.000 0.000 0.000  -0.01
2 Pd 0.250 0.250 0.250  0.00
3 Pd 0.750 0.750 0.750  0.00
4 Ti 0.500 0.500 0.500  -0.36

=====

<y>
The following is a PBE calculation of an optimized crystal structure of CaTiPd2, from Alexandria via LeMat-Bulk.

Properties
N(E_F): 3.28 states/eV per cell

Lattice parameters (Å, degrees): 3.047 4.899 4.899 90.00 90.00 90.00
Site moments in Bohr magnetons follow the coordinates.
Element x y z (fractional)
1 Ca 0.500 0.500 0.500  0.00
2 Pd 0.000 0.000 0.500  0.02
3 Pd 0.000 0.500 0.000  0.02
4 Ti 0.500 0.000 0.000  0.58

=====

Last place for stability: <x>

=====

<w>
The following is a PBE calculation of an optimized crystal structure of Ca2TlPd, from Alexandria via LeMat-Bulk.

Properties
N(E_F): 2.20 states/eV per cell

Lattice parameters (Å, degrees): 3.881 3.881 10.346 79.19 79.19 60.00
Element x y z (fractional)
1 Tl 0.000 0.000 0.000
2 Ca 0.109 0.109 0.674
3 Ca 0.891 0.891 0.326
4 Pd 0.500 0.500 0.500

=====

<x>
The following is a PBE calculation of an optimized crystal structure of Ca2TlPd, from Alexandria via LeMat-Bulk.

Properties
N(E_F): 1.95 states/eV per cell

Lattice parameters (Å, degrees): 3.600 3.600 7.921 90.00 90.00 90.00
Element x y z (fractional)
1 Tl 0.500 0.500 0.500
2 Ca 0.000 0.000 0.784
3 Ca 0.000 0.000 0.216
4 Pd 0.500 0.500 0.000

=====

<y>
The following is a PBE calculation of an optimized crystal structure of Ca2TlPd, from Alexandria via LeMat-Bulk.

Properties
N(E_F): 2.58 states/eV per cell

Lattice parameters (Å, degrees): 5.241 5.241 5.241 60.00 60.00 60.00
Element x y z (fractional)
1 Tl 0.500 0.500 0.500
2 Ca 0.250 0.250 0.250
3 Ca 0.750 0.750 0.750
4 Pd 0.000 0.000 0.000

=====

Last place for stability: <w>

=====

<w>
The following is a PBE calculation of an optimized crystal structure of Ca2TlPd, from Alexandria via LeMat-Bulk.

Properties
N(E_F): 5.72 states/eV per cell

Lattice parameters (Å, degrees): 8.227 8.227 6.737 52.37 52.37 90.00
Element x y z (fractional)
1 Tl 0.000 0.000 0.000
2 Tl 0.750 0.250 0.500
3 Ca 0.580 0.125 0.250
4 Ca 0.170 0.625 0.250
5 Ca 0.375 0.420 0.750
6 Ca 0.875 0.830 0.750
7 Pd 0.500 0.500 0.000
8 Pd 0.250 0.750 0.500

=====

<x>
The following is a PBE calculation of an optimized crystal structure of Ca2TlPd, from Alexandria via LeMat-Bulk.

Properties
N(E_F): 3.53 states/eV per cell

Lattice parameters (Å, degrees): 3.872 5.131 5.131 90.00 90.00 90.00
Element x y z (fractional)
1 Tl 0.500 0.000 0.000
2 Ca 0.000 0.000 0.500
3 Ca 0.000 0.500 0.000
4 Pd 0.500 0.500 0.500

=====

Last place for stability: <w>

=====

<w>
The following is a PBE calculation of an optimized crystal structure of CaTl2Pd5, from Alexandria via LeMat-Bulk.

Properties
N(E_F): 2.13 states/eV per cell

Lattice parameters (Å, degrees): 4.232 7.454 7.454 46.03 73.51 73.51
Element x y z (fractional)
1 Ca 0.000 0.000 0.000
2 Tl 0.784 0.716 0.716
3 Tl 0.216 0.284 0.284
4 Pd 0.000 0.500 0.500
5 Pd 0.608 0.632 0.152
6 Pd 0.392 0.368 0.848
7 Pd 0.392 0.848 0.368
8 Pd 0.608 0.152 0.632

=====

<x>
The following is a PBE calculation of an optimized crystal structure of CaTl2Pd5, from Alexandria via LeMat-Bulk.

Properties
N(E_F): 3.01 states/eV per cell

Lattice parameters (Å, degrees): 4.922 4.922 7.080 110.39 110.39 89.89
Element x y z (fractional)
1 Ca 0.000 0.000 0.000
2 Tl 0.264 0.264 0.527
3 Tl 0.736 0.736 0.473
4 Pd 0.500 0.500 0.000
5 Pd 0.627 0.127 0.254
6 Pd 0.127 0.627 0.254
7 Pd 0.373 0.873 0.746
8 Pd 0.873 0.373 0.746

=====

Last place for stability: <x>

=====

<w>
The following is a PBE calculation of an optimized crystal structure of Ca2Tl2Pd, from Alexandria via LeMat-Bulk.

Properties
N(E_F): 5.82 states/eV per cell

Lattice parameters (Å, degrees): 4.099 6.200 11.541 93.22 79.77 70.70
Element x y z (fractional)
1 Ca 0.665 0.340 0.330
2 Ca 0.937 0.252 0.875
3 Ca 0.335 0.660 0.670
4 Ca 0.063 0.748 0.125
5 Tl 0.110 0.225 0.555
6 Tl 0.652 0.804 0.893
7 Tl 0.890 0.775 0.445
8 Tl 0.348 0.196 0.107
9 Pd 0.628 0.055 0.690
10 Pd 0.372 0.945 0.310

=====

<x>
The following is a PBE calculation of an optimized crystal structure of Ca2Tl2Pd, from Alexandria via LeMat-Bulk.

Properties
N(E_F): 5.76 states/eV per cell

Lattice parameters (Å, degrees): 7.479 7.479 4.851 90.00 90.00 90.00
Element x y z (fractional)
1 Tl 0.357 0.857 0.000
2 Tl 0.857 0.643 0.000
3 Tl 0.643 0.143 0.000
4 Tl 0.143 0.357 0.000
5 Ca 0.170 0.670 0.500
6 Ca 0.670 0.830 0.500
7 Ca 0.830 0.330 0.500
8 Ca 0.330 0.170 0.500
9 Pd 0.000 0.000 0.000
10 Pd 0.500 0.500 0.000

=====

Last place for stability: <x>